# 1
! NbCuBiIr (PBE-GGA, optimized geometry); values from VASP
! Energy above the lowest structure with this stoichiometry in meV/atom: 32.1
! Total magnetization in μB per formula unit: 0.0
! SG: F-43m, No. 216
&SYSTEM
  ibrav = 0, nat = 4, ntyp = 4
/
ATOMIC_SPECIES
Cu 63.55 Cu.upf
Bi 208.98 Bi.upf
Nb 92.91 Nb.upf
Ir 192.22 Ir.upf
ATOMIC_POSITIONS crystal
Cu 0.250 0.250 0.250
Bi 0.000 0.000 0.000
Nb 0.750 0.750 0.750
Ir 0.500 0.500 0.500
CELL_PARAMETERS angstrom
0.488 -4.574 -0.678
-3.232 -2.943 1.585
-2.789 -2.218 -2.986


# 2
! CuBiIrPd (PBE-GGA, optimized geometry); values from VASP
! Energy above the lowest structure with this stoichiometry in meV/atom: 0.0
! Total magnetization in μB per formula unit: 0.0
! SG: F-43m, No. 216
&SYSTEM
  ibrav = 0, nat = 4, ntyp = 4
/
ATOMIC_SPECIES
Pd 106.42 Pd.upf
Bi 208.98 Bi.upf
Ir 192.22 Ir.upf
Cu 63.55 Cu.upf
ATOMIC_POSITIONS crystal
Pd 0.500 0.500 0.500
Bi 0.000 0.000 0.000
Ir 0.250 0.250 0.250
Cu 0.750 0.750 0.750
CELL_PARAMETERS angstrom
0.000 3.245 3.245
3.245 0.000 3.245
3.245 3.245 0.000


# 3
! CuReBiIr (PBE-GGA, optimized geometry); values from VASP
! Energy above the lowest structure with this stoichiometry in meV/atom: 0.0
! Total magnetization in μB per formula unit: 0.0
! SG: F-43m, No. 216
&SYSTEM
  ibrav = 0, nat = 4, ntyp = 4
/
ATOMIC_SPECIES
Cu 63.55 Cu.upf
Bi 208.98 Bi.upf
Ir 192.22 Ir.upf
Re 186.21 Re.upf
ATOMIC_POSITIONS crystal
Cu 0.750 0.750 0.750
Bi 0.000 0.000 0.000
Ir 0.500 0.500 0.500
Re 0.250 0.250 0.250
CELL_PARAMETERS angstrom
0.000 3.231 3.231
3.231 0.000 3.231
3.231 3.231 0.000


# 4
! TaCuBiIr (PBE-GGA, optimized geometry); values from VASP
! Energy above the lowest structure with this stoichiometry in meV/atom: 41.7
! Total magnetization in μB per formula unit: 0.0
! SG: F-43m, No. 216
&SYSTEM
  ibrav = 0, nat = 4, ntyp = 4
/
ATOMIC_SPECIES
Cu 63.55 Cu.upf
Bi 208.98 Bi.upf
Ta 180.95 Ta.upf
Ir 192.22 Ir.upf
ATOMIC_POSITIONS crystal
Cu 0.750 0.750 0.750
Bi 0.000 0.000 0.000
Ta 0.250 0.250 0.250
Ir 0.500 0.500 0.500
CELL_PARAMETERS angstrom
0.000 3.289 3.289
3.289 0.000 3.289
3.289 3.289 0.000


# 5
! TaCuBiIr (PBE-GGA, optimized geometry); values from VASP
! Energy above the lowest structure with this stoichiometry in meV/atom: 0.0
! Total magnetization in μB per formula unit: 0.0
! SG: F-43m, No. 216
&SYSTEM
  ibrav = 0, nat = 4, ntyp = 4
/
ATOMIC_SPECIES
Cu 63.55 Cu.upf
Ta 180.95 Ta.upf
Bi 208.98 Bi.upf
Ir 192.22 Ir.upf
ATOMIC_POSITIONS crystal
Cu 0.250 0.250 0.250
Ta 0.500 0.500 0.500
Bi 0.000 0.000 0.000
Ir 0.750 0.750 0.750
CELL_PARAMETERS angstrom
-0.322 -0.627 4.611
1.614 3.263 2.916
-2.980 2.572 2.501


# 6
! TlCuBiIr (PBE-GGA, optimized geometry); values from VASP
! Energy above the lowest structure with this stoichiometry in meV/atom: 0.0
! Total magnetization in μB per formula unit: 0.0
! SG: F-43m, No. 216
&SYSTEM
  ibrav = 0, nat = 4, ntyp = 4
/
ATOMIC_SPECIES
Cu 63.55 Cu.upf
Bi 208.98 Bi.upf
Ir 192.22 Ir.upf
Tl 204.38 Tl.upf
ATOMIC_POSITIONS crystal
Cu 0.750 0.750 0.750
Bi 0.000 0.000 0.000
Ir 0.250 0.250 0.250
Tl 0.500 0.500 0.500
CELL_PARAMETERS angstrom
0.000 3.410 3.410
3.410 0.000 3.410
3.410 3.410 0.000


# 7
! KCuBi (PBE-GGA, optimized geometry); values from VASP
! Energy above the lowest structure with this stoichiometry in meV/atom: 658.1
! SG: F-43m, No. 216
&SYSTEM
  ibrav = 0, nat = 3, ntyp = 3
/
ATOMIC_SPECIES
Bi 208.98 Bi.upf
K 39.10 K.upf
Cu 63.55 Cu.upf
ATOMIC_POSITIONS crystal
Bi 0.250 0.250 0.250
K 0.000 0.000 0.000
Cu 0.750 0.750 0.750
CELL_PARAMETERS angstrom
-3.081 -0.376 4.261
-4.838 -2.053 -0.418
-1.047 -4.727 2.087


# 8
! KCuBi (PBE-GGA, optimized geometry); values from VASP
! Energy above the lowest structure with this stoichiometry in meV/atom: 0.0
! SG: F-43m, No. 216
&SYSTEM
  ibrav = 0, nat = 3, ntyp = 3
/
ATOMIC_SPECIES
Cu 63.55 Cu.upf
Bi 208.98 Bi.upf
K 39.10 K.upf
ATOMIC_POSITIONS crystal
Cu 0.000 0.000 0.000
Bi 0.250 0.250 0.250
K 0.750 0.750 0.750
CELL_PARAMETERS angstrom
0.000 3.520 3.520
3.520 0.000 3.520
3.520 3.520 0.000